IrOsAu2, relaxed, DFT PBE; crystal system = monoclinic; density = 19.944 g/cm3; total DFT energy (no corrections) = -6.194 eV/atom; energy relative to the lowest polymorph listed for this composition = 231 meV/atom; energy of formation from the pure elements = 0.467 eV per atom
1.0
4.616 -1.421 0.000
4.616 1.421 0.000
-0.843 0.000 4.928
Ir Os Au
1 1 2
Direct
0.000 0.000 0.000 Ir
0.263 0.263 0.822 Os
0.511 0.511 0.526 Au
0.755 0.755 0.297 Au

***

Ce2Er3ThS6, relaxed, DFT PBE; crystal system = monoclinic; density = 7.669 g/cm3; uncorrected formation energy = -23.65 eV/f.u.; total DFT energy (no corrections) = -6.783 eV/atom
1.0
8.690 -1.953 0.000
8.690 1.953 0.000
-2.134 0.000 7.697
Ce Er Th S
2 3 1 6
Direct
0.166 0.166 0.332 Ce
0.834 0.834 0.668 Ce
0.167 0.167 0.832 Er
0.500 0.500 0.500 Er
0.833 0.833 0.168 Er
0.500 0.500 0.000 Th
0.004 0.004 0.739 S
0.329 0.329 0.927 S
0.337 0.337 0.409 S
0.663 0.663 0.591 S
0.671 0.671 0.073 S
0.996 0.996 0.261 S

***

TbGdHoSc, relaxed, DFT PBE; crystal system = cubic; density = 7.281 g/cm3; total DFT energy (no corrections) = -7.293 eV/atom; energy of formation from the pure elements = 0.112 eV per atom
1.0
0.000 3.915 3.915
3.915 0.000 3.915
3.915 3.915 0.000
Tb Gd Ho Sc
1 1 1 1
Direct
0.000 0.000 0.000 Tb
0.500 0.500 0.500 Gd
0.250 0.250 0.250 Ho
0.750 0.750 0.750 Sc

***

NdNbNi2, relaxed, DFT PBE; crystal system = tetragonal; density = 8.227 g/cm3; total DFT energy (no corrections) = -6.723 eV/atom; energy relative to the lowest polymorph listed for this composition = 49 meV/atom; energy of formation from the pure elements = -0.123 eV per atom
1.0
3.227 0.000 0.000
0.000 3.227 0.000
0.000 0.000 6.872
Nd Nb Ni
1 1 2
Direct
0.000 0.000 0.000 Nd
0.000 0.000 0.500 Nb
0.500 0.500 0.314 Ni
0.500 0.500 0.686 Ni

***

Be2IrRu, relaxed, DFT PBE; crystal system = trigonal; density = 11.085 g/cm3; total DFT energy (no corrections) = -6.575 eV/atom; energy of formation from the pure elements = -0.177 eV per atom
1.0
1.365 0.788 7.226
-1.365 0.788 7.226
0.000 -1.576 7.226
Be Ir Ru
2 1 1
Direct
0.249 0.249 0.249 Be
0.751 0.751 0.751 Be
0.500 0.500 0.500 Ir
0.000 0.000 0.000 Ru

***

SmLu3Cu, relaxed, DFT PBE; crystal system = cubic; density = 8.372 g/cm3; total DFT energy (no corrections) = -4.405 eV/atom; energy of formation from the pure elements = 0.070 eV per atom
1.0
5.272 0.000 0.000
0.000 5.272 0.000
0.000 0.000 5.272
Sm Lu Cu
1 3 1
Direct
0.000 0.000 0.000 Sm
0.000 0.500 0.500 Lu
0.500 0.000 0.500 Lu
0.500 0.500 0.000 Lu
0.500 0.500 0.500 Cu